(1)
The following is a GGA-PBE calculation of SrAc3La3 after structural relaxation, from the Alexandria database.

Unit cell a=9.5827 b=9.5827 c=9.5827 alpha=59.47 beta=59.47 gamma=59.47
With the nearest neighbours (Å) after each atom.
Element x y z (fractional)
Sr: 0.3527 0.3527 0.3527  6 La 3.83-4.25, 6 Ac 4.06-4.09
Ac: 0.5692 0.0602 0.7319  4 La 3.61-3.95, 2 Ac 3.98
La: 0.0673 0.2779 0.8270  4 La 3.45-3.71, 3 Ac 3.61-3.74, 1 Sr 3.83
La: 0.9327 0.7221 0.1730  4 La 3.45-3.71, 3 Ac 3.61-3.74, 1 Sr 3.83
Ac: 0.4308 0.9398 0.2681  4 La 3.61-3.95, 2 Ac 3.98
Ac: 0.7319 0.5692 0.0602  4 La 3.61-3.95, 2 Ac 3.98
Sr: 0.6473 0.6473 0.6473  6 La 3.83-4.25, 6 Ac 4.06-4.09
Ac: 0.0602 0.7319 0.5692  4 La 3.61-3.95, 2 Ac 3.98
Ac: 0.9398 0.2681 0.4308  4 La 3.61-3.95, 2 Ac 3.98
La: 0.7221 0.1730 0.9327  4 La 3.45-3.71, 3 Ac 3.61-3.74, 1 Sr 3.83
Ac: 0.2681 0.4308 0.9398  4 La 3.61-3.95, 2 Ac 3.98
La: 0.1730 0.9327 0.7221  4 La 3.45-3.71, 3 Ac 3.61-3.74, 1 Sr 3.83
La: 0.8270 0.0673 0.2779  4 La 3.45-3.71, 3 Ac 3.61-3.74, 1 Sr 3.83
La: 0.2779 0.8270 0.0673  4 La 3.45-3.71, 3 Ac 3.61-3.74, 1 Sr 3.83

Energy of formation ... 0.189 eV per atom


(2)
The following is a GGA-PBE calculation of Ac3Hg12Pb5 after structural relaxation, from the Alexandria database.

Unit cell a=15.6956 b=15.6956 c=15.6956 alpha=109.47 beta=109.47 gamma=109.47
With the nearest neighbours (Å) after each atom.
Element x y z (fractional)
Hg: 0.4084 0.2766 0.3315  2 Pb 2.96-3.05, 1 Ac 3.25
Pb: 0.8750 0.2500 0.6250  4 Hg 2.96
Hg: 0.9231 0.8315 0.5549  2 Pb 2.96-3.05, 1 Ac 3.25
Pb: 0.0000 0.5000 0.0000  6 Hg 3.05
Ac: 0.6250 0.2500 0.3750  8 Hg 3.25-3.43
Hg: 0.1685 0.0769 0.9451  2 Pb 2.96-3.05, 1 Ac 3.25
Hg: 0.0769 0.1685 0.4451  2 Pb 2.96-3.05, 1 Ac 3.25
Ac: 0.6250 0.3750 0.7500  8 Hg 3.25-3.43
Pb: 0.6250 0.8750 0.2500  4 Hg 2.96
Pb: 0.5000 0.5000 0.5000  6 Hg 3.05
Hg: 0.8682 0.5916 0.9231  2 Pb 2.96-3.05, 1 Ac 3.25
Hg: 0.2766 0.8682 0.9451  2 Pb 2.96-3.05, 1 Ac 3.25
Pb: 0.3750 0.2500 0.1250  4 Hg 2.96
Hg: 0.6318 0.0549 0.2234  2 Pb 2.96-3.05, 1 Ac 3.25
Hg: 0.7766 0.3315 0.9084  2 Pb 2.96-3.05, 1 Ac 3.25
Hg: 0.6318 0.5769 0.9084  2 Pb 2.96-3.05, 1 Ac 3.25
Hg: 0.5916 0.7234 0.6685  2 Pb 2.96-3.05, 1 Ac 3.25
Hg: 0.3315 0.7766 0.4084  2 Pb 2.96-3.05, 1 Ac 3.25
Ac: 0.1250 0.8750 0.7500  8 Hg 3.25-3.43
Hg: 0.5769 0.6318 0.4084  2 Pb 2.96-3.05, 1 Ac 3.25
Hg: 0.9451 0.5769 0.1685  2 Pb 2.96-3.05, 1 Ac 3.25
Ac: 0.8750 0.1250 0.2500  8 Hg 3.25-3.43
Hg: 0.9084 0.0769 0.6318  2 Pb 2.96-3.05, 1 Ac 3.25
Pb: 0.0000 0.5000 0.5000  6 Hg 3.05
Ac: 0.7500 0.3750 0.1250  8 Hg 3.25-3.43
Pb: 0.5000 0.0000 0.0000  6 Hg 3.05
Hg: 0.3315 0.5549 0.4231  2 Pb 2.96-3.05, 1 Ac 3.25
Pb: 0.2500 0.3750 0.6250  4 Hg 2.96
Pb: 0.0000 0.0000 0.0000  6 Hg 3.05
Hg: 0.1318 0.4084 0.0769  2 Pb 2.96-3.05, 1 Ac 3.25
Hg: 0.1318 0.7234 0.5549  2 Pb 2.96-3.05, 1 Ac 3.25
Hg: 0.4231 0.0549 0.3315  2 Pb 2.96-3.05, 1 Ac 3.25
Hg: 0.3682 0.9451 0.7766  2 Pb 2.96-3.05, 1 Ac 3.25
Hg: 0.8315 0.9084 0.2766  2 Pb 2.96-3.05, 1 Ac 3.25
Hg: 0.9084 0.8315 0.7766  2 Pb 2.96-3.05, 1 Ac 3.25
Ac: 0.3750 0.6250 0.2500  8 Hg 3.25-3.43
Pb: 0.8750 0.6250 0.7500  4 Hg 2.96
Hg: 0.4084 0.1318 0.5769  2 Pb 2.96-3.05, 1 Ac 3.25
Hg: 0.4451 0.7766 0.8682  2 Pb 2.96-3.05, 1 Ac 3.25
Pb: 0.1250 0.3750 0.2500  4 Hg 2.96
Pb: 0.1250 0.7500 0.3750  4 Hg 2.96
Hg: 0.7234 0.1318 0.0549  2 Pb 2.96-3.05, 1 Ac 3.25
Pb: 0.0000 0.0000 0.5000  6 Hg 3.05
Ac: 0.2500 0.6250 0.8750  8 Hg 3.25-3.43
Hg: 0.7766 0.4451 0.3682  2 Pb 2.96-3.05, 1 Ac 3.25
Hg: 0.6685 0.2234 0.5916  2 Pb 2.96-3.05, 1 Ac 3.25
Hg: 0.0549 0.6318 0.7234  2 Pb 2.96-3.05, 1 Ac 3.25
Hg: 0.5549 0.3315 0.9231  2 Pb 2.96-3.05, 1 Ac 3.25
Hg: 0.4231 0.3682 0.5916  2 Pb 2.96-3.05, 1 Ac 3.25
Hg: 0.2234 0.5549 0.6318  2 Pb 2.96-3.05, 1 Ac 3.25
Hg: 0.9451 0.3682 0.2766  2 Pb 2.96-3.05, 1 Ac 3.25
Hg: 0.4451 0.6685 0.0769  2 Pb 2.96-3.05, 1 Ac 3.25
Hg: 0.5549 0.2234 0.1318  2 Pb 2.96-3.05, 1 Ac 3.25
Hg: 0.6685 0.4451 0.5769  2 Pb 2.96-3.05, 1 Ac 3.25
Hg: 0.0916 0.1685 0.2234  2 Pb 2.96-3.05, 1 Ac 3.25
Pb: 0.2500 0.8750 0.1250  4 Hg 2.96
Ac: 0.2500 0.1250 0.3750  8 Hg 3.25-3.43
Hg: 0.5769 0.9451 0.6685  2 Pb 2.96-3.05, 1 Ac 3.25
Pb: 0.7500 0.6250 0.3750  4 Hg 2.96
Pb: 0.7500 0.1250 0.8750  4 Hg 2.96
Hg: 0.2234 0.6685 0.0916  2 Pb 2.96-3.05, 1 Ac 3.25
Ac: 0.7500 0.8750 0.6250  8 Hg 3.25-3.43
Pb: 0.3750 0.1250 0.7500  4 Hg 2.96
Hg: 0.0916 0.9231 0.3682  2 Pb 2.96-3.05, 1 Ac 3.25
Pb: 0.5000 0.5000 0.0000  6 Hg 3.05
Hg: 0.0769 0.9084 0.1318  2 Pb 2.96-3.05, 1 Ac 3.25
Hg: 0.8315 0.9231 0.0549  2 Pb 2.96-3.05, 1 Ac 3.25
Hg: 0.7234 0.5916 0.1685  2 Pb 2.96-3.05, 1 Ac 3.25
Hg: 0.0549 0.4231 0.8315  2 Pb 2.96-3.05, 1 Ac 3.25
Hg: 0.1685 0.0916 0.7234  2 Pb 2.96-3.05, 1 Ac 3.25
Ac: 0.3750 0.7500 0.6250  8 Hg 3.25-3.43
Hg: 0.9231 0.0916 0.8682  2 Pb 2.96-3.05, 1 Ac 3.25
Hg: 0.3682 0.4231 0.0916  2 Pb 2.96-3.05, 1 Ac 3.25
Pb: 0.5000 0.0000 0.5000  6 Hg 3.05
Hg: 0.8682 0.2766 0.4451  2 Pb 2.96-3.05, 1 Ac 3.25
Hg: 0.5916 0.8682 0.4231  2 Pb 2.96-3.05, 1 Ac 3.25
Ac: 0.1250 0.2500 0.8750  8 Hg 3.25-3.43
Hg: 0.2766 0.4084 0.8315  2 Pb 2.96-3.05, 1 Ac 3.25
Ac: 0.8750 0.7500 0.1250  8 Hg 3.25-3.43
Pb: 0.6250 0.7500 0.8750  4 Hg 2.96

Energy of formation ... 0.068 eV per atom


(3)
The following is a GGA-PBE calculation of Pm5CdPb8 after structural relaxation, from the Alexandria database.

Unit cell a=8.2784 b=8.2784 c=8.2784 alpha=107.37 beta=113.75 gamma=107.37
With the nearest neighbours (Å) after each atom.
Element x y z (fractional)
Pb: 0.6127 0.4158 0.8314  1 Cd 3.14, 5 Pm 3.23-3.33, 1 Pb 3.33
Pb: 0.9682 0.1012 0.7500  5 Pm 3.21-3.59, 2 Pb 3.33, 1 Cd 3.43
Pb: 0.4155 0.5842 0.1969  1 Cd 3.14, 5 Pm 3.23-3.33, 1 Pb 3.33
Pm: 0.7522 0.5931 0.5831  8 Pb 3.21-3.59
Pm: 0.8409 0.8309 0.2478  8 Pb 3.21-3.59
Pb: 0.1686 0.7814 0.5845  1 Cd 3.14, 5 Pm 3.23-3.33, 1 Pb 3.33
Pb: 0.2500 0.2182 0.3512  5 Pm 3.21-3.59, 2 Pb 3.33, 1 Cd 3.43
Pb: 0.6488 0.8988 0.8670  5 Pm 3.21-3.59, 2 Pb 3.33, 1 Cd 3.43
Pm: 0.9900 0.4069 0.1591  8 Pb 3.21-3.59
Pb: 0.1330 0.7818 0.0318  5 Pm 3.21-3.59, 2 Pb 3.33, 1 Cd 3.43
Pm: 0.4169 0.1691 0.0100  8 Pb 3.21-3.59
Pm: 0.5000 0.0000 0.5000  8 Pb 3.25-3.26
Pb: 0.8031 0.2186 0.3873  1 Cd 3.14, 5 Pm 3.23-3.33, 1 Pb 3.33
Cd: 0.2500 0.5000 0.7500  8 Pb 3.14-3.43

Energy of formation ... -0.300 eV per atom


(4)
The following is a GGA-PBE calculation of TlNiPb2 after structural relaxation, from the Alexandria database.

Unit cell a=5.2478 b=5.2478 c=5.2478 alpha=60.00 beta=60.00 gamma=60.00
With the nearest neighbours (Å) after each atom.
Element x y z (fractional)
Ni: 0.5000 0.5000 0.5000  4 Tl 3.21, 4 Pb 3.21
Pb: 0.0000 0.0000 0.0000  4 Tl 3.21, 4 Pb 3.21
Tl: 0.7500 0.7500 0.7500  4 Pb 3.21, 4 Ni 3.21
Pb: 0.2500 0.2500 0.2500  4 Pb 3.21, 4 Ni 3.21

Energy of formation ... 0.421 eV per atom
Excess energy over the best structure of this formula in the dataset ... 313.0 meV per atom


(5)
The following is a GGA-PBE calculation of Ac2InNi4Sn3 after structural relaxation, from the Alexandria database.

Unit cell a=4.5453 b=4.5453 c=10.5067 alpha=90.00 beta=90.00 gamma=90.00
With the nearest neighbours (Å) after each atom.
Element x y z (fractional)
Ac: 0.5000 0.0000 0.2398  8 Ni 3.39-3.48, 7 Sn 3.45-3.78, 2 In 3.55
Sn: 0.5000 0.0000 0.8797  5 Ni 2.59-2.60
Ni: 0.0000 0.5000 0.3666  3 Sn 2.59-2.67, 2 In 2.67
Ni: 0.5000 0.0000 0.6334  3 Sn 2.59-2.67, 2 In 2.67
In: 0.5000 0.5000 0.5000  4 Ni 2.67
Sn: 0.0000 0.0000 0.5000  4 Ni 2.67
Ac: 0.0000 0.5000 0.7602  8 Ni 3.39-3.48, 7 Sn 3.45-3.78, 2 In 3.55
Ni: 0.5000 0.5000 0.0000  4 Sn 2.60
Sn: 0.0000 0.5000 0.1203  5 Ni 2.59-2.60
Ni: 0.0000 0.0000 0.0000  4 Sn 2.60

Energy of formation ... -0.493 eV per atom


(6)
The following is a GGA-PBE calculation of RbAlTe2 after structural relaxation, from the Alexandria database.

Unit cell a=11.2848 b=11.2848 c=7.5143 alpha=90.00 beta=90.00 gamma=158.34
With the nearest neighbours (Å) after each atom.
Element x y z (fractional)
Te: 0.7855 0.2145 0.7500  1 Al 2.44
Te: 0.8988 0.1012 0.2500  2 Al 2.69
Te: 0.2145 0.7855 0.2500  1 Al 2.44
Rb: 0.9331 0.0669 0.7500  1 Te 3.27
Al: 0.3243 0.6757 0.2500  3 Te 2.44-2.69
Te: 0.1012 0.8988 0.7500  2 Al 2.69
Al: 0.6757 0.3243 0.7500  3 Te 2.44-2.69
Rb: 0.0669 0.9331 0.2500  1 Te 3.27

ΔE_f (raw) ... -333 meV/atom


(7)
The following is a GGA-PBE calculation of La2SbBr2 after structural relaxation, from the Alexandria database.

Unit cell a=4.4899 b=4.4899 c=11.0347 alpha=78.26 beta=78.26 gamma=60.00
With the nearest neighbours (Å) after each atom.
Element x y z (fractional)
Br: 0.7782 0.7782 0.6655  3 La 3.13
La: 0.3905 0.3905 0.8286  3 Br 3.13, 3 Sb 3.18
Sb: 0.0000 0.0000 0.0000  6 La 3.18
Br: 0.2218 0.2218 0.3345  3 La 3.13
La: 0.6095 0.6095 0.1714  3 Br 3.13, 3 Sb 3.18

ΔE_f (raw) ... -1640 meV/atom


(8)
The following is a GGA-PBE calculation of CaCrCl2 after structural relaxation, from the Alexandria database.

Unit cell a=3.8058 b=5.8512 c=5.8511 alpha=54.57 beta=90.00 gamma=90.00
With the nearest neighbours (Å) after each atom.
Element x y z (fractional)
Cl: 0.0000 0.9603 0.9603  2 Cr 2.69-2.70, 2 Ca 2.85
Ca: 0.5000 0.7558 0.7562  4 Cl 2.72-2.85
Cr: 0.0000 0.4837 0.4830  4 Cl 2.69-2.70
Cl: 0.5000 0.3002 0.3005  2 Cr 2.69, 2 Ca 2.72

Excess energy over the best structure of this formula in the dataset ... 45.1 meV per atom
ΔE_f (raw) ... -882 meV/atom


(9)
The following is a GGA-PBE calculation of BiPCl after structural relaxation, from the Alexandria database.

Unit cell a=3.9325 b=5.8457 c=8.5540 alpha=107.38 beta=100.37 gamma=98.10
With the nearest neighbours (Å) after each atom.
Element x y z (fractional)
Bi: 0.9239 0.2918 0.7415  1 Cl 2.61, 2 P 2.69-2.73
Cl: 0.2800 0.1834 0.3899  1 Bi 2.61
Cl: 0.7200 0.8166 0.6101  1 Bi 2.61
Bi: 0.0761 0.7082 0.2585  1 Cl 2.61, 2 P 2.69-2.73
P: 0.4952 0.7027 0.0353  1 P 2.27
P: 0.5048 0.2973 0.9647  1 P 2.27

Excess energy over the best structure of this formula in the dataset ... 118.8 meV per atom
ΔE_f (raw) ... -298 meV/atom


(10)
The following is a GGA-PBE calculation of CuIrPd2I after structural relaxation, from the Alexandria database.

Unit cell a=4.6130 b=4.7883 c=4.6130 alpha=90.00 beta=90.00 gamma=90.00
With the nearest neighbours (Å) after each atom.
Element x y z (fractional)
Pd: 0.0000 0.0000 0.5000  2 Cu 2.31
Cu: 0.0000 0.0000 0.0000  4 Pd 2.31, 2 I 2.39
Pd: 0.5000 0.0000 0.0000  2 Cu 2.31
I: 0.0000 0.5000 0.0000  2 Cu 2.39
Ir: 0.5000 0.5000 0.5000  4 I 3.26, 8 Pd 3.32

ΔE_f (raw) ... 1316 meV/atom